A relaxed KPmPb4 crystal. Source: the Alexandria database, functional PBE.

a = 9.274 Å, b = 9.274 Å, c = 9.274 Å
α = 90.00°, β = 90.00°, γ = 90.00°
Space group F-43m (No. 216)
One atom of each set of equivalent atoms:
K 0.000 0.000 0.000 x4
Pm 0.250 0.250 0.250 x4
Pb 0.124 0.124 0.624 x16

Energy of formation from the pure elements ... -0.1721 eV per atom